Density functional theory data (PBE-GGA) for a geometry-optimized GaAs structure.

Values from the calculation:
The calculated formation energy is 79 meV/atom. The total moment comes out at 0.0000 μB per atom.

Unit cell a=8.740 b=8.740 c=11.148 alpha=66.01 beta=66.01 gamma=56.47
Positions (direct):
Ga 0.159 0.159 0.326
Ga 0.521 0.521 0.131
Ga 0.534 0.088 0.446
Ga 0.810 0.350 0.389
Ga 0.088 0.534 0.446
Ga 0.350 0.810 0.389
Ga 0.446 0.446 0.719
Ga 0.669 0.669 0.751
As 0.333 0.333 0.290
As 0.633 0.633 0.229
As 0.649 0.157 0.571
As 0.801 0.499 0.552
As 0.157 0.649 0.571
As 0.499 0.801 0.552
As 0.505 0.505 0.932
As 0.847 0.847 0.706

=====

Density functional theory data (PBE-GGA) for a geometry-optimized GaAs structure.

Values from the calculation:
The density of states at the Fermi level is 0.124 states/eV per atom. The calculated formation energy is -134 meV/atom. The total moment comes out at 0.0000 μB per atom.

Unit cell a=4.053 b=4.053 c=6.914 alpha=90.33 beta=90.33 gamma=59.99
Positions (direct):
Ga 0.168 0.168 0.140
Ga 0.832 0.832 0.860
As 0.836 0.836 0.265
As 0.164 0.164 0.735

=====

Density functional theory data (PBE-GGA) for a geometry-optimized GaAs4 structure.

Values from the calculation:
The density of states at the Fermi level is 0.856 states/eV per atom. The calculated formation energy is 834 meV/atom. The total moment comes out at 0.0000 μB per atom.

Unit cell a=4.876 b=4.876 c=4.876 alpha=90.00 beta=90.00 gamma=90.00
Positions (direct):
As 0.000 0.000 0.000
As 0.500 0.000 0.500
As 0.000 0.500 0.500
As 0.500 0.500 0.000
Ga 0.500 0.500 0.500

=====

Density functional theory data (PBE-GGA) for a geometry-optimized Ga3As structure.

Values from the calculation:
The density of states at the Fermi level is 0.404 states/eV per atom. The calculated formation energy is 73 meV/atom. The total moment comes out at 0.0000 μB per atom.

Unit cell a=4.290 b=4.290 c=4.290 alpha=90.00 beta=90.00 gamma=90.00
Positions (direct):
As 0.000 0.000 0.000
Ga 0.000 0.500 0.500
Ga 0.500 0.000 0.500
Ga 0.500 0.500 0.000

=====

Density functional theory data (PBE-GGA) for a geometry-optimized GaAs structure.

Values from the calculation:
The density of states at the Fermi level is 0.049 states/eV per atom. The calculated formation energy is -233 meV/atom. The total moment comes out at 0.0000 μB per atom.

Unit cell a=4.071 b=6.189 c=12.454 alpha=90.00 beta=90.00 gamma=90.00
Positions (direct):
Ga 0.000 0.904 0.646
Ga 0.500 0.096 0.854
Ga 0.500 0.096 0.146
Ga 0.000 0.904 0.354
Ga 0.000 0.596 0.000
Ga 0.500 0.404 0.500
As 0.000 0.861 0.849
As 0.500 0.139 0.651
As 0.500 0.139 0.349
As 0.000 0.861 0.151
As 0.000 0.632 0.500
As 0.500 0.368 0.000

=====

Density functional theory data (PBE-GGA) for a geometry-optimized GaAs structure.

Values from the calculation:
The density of states at the Fermi level is 0.029 states/eV per atom. The calculated formation energy is -149 meV/atom. The total moment comes out at 0.0000 μB per atom.

Unit cell a=7.303 b=7.374 c=8.346 alpha=90.00 beta=90.00 gamma=90.00
Positions (direct):
Ga 0.343 0.103 0.034
Ga 0.843 0.397 0.966
Ga 0.657 0.603 0.466
Ga 0.157 0.897 0.534
Ga 0.366 0.562 0.767
Ga 0.866 0.938 0.233
Ga 0.634 0.062 0.733
Ga 0.134 0.438 0.267
As 0.690 0.104 0.029
As 0.190 0.396 0.971
As 0.310 0.604 0.471
As 0.810 0.896 0.529
As 0.336 0.905 0.788
As 0.836 0.595 0.212
As 0.664 0.405 0.712
As 0.164 0.095 0.288

=====

Density functional theory data (PBE-GGA) for a geometry-optimized GaAs structure.

Values from the calculation:
The density of states at the Fermi level is 0.013 states/eV per atom. The calculated formation energy is -284 meV/atom. The total moment comes out at 0.0000 μB per atom.

Unit cell a=7.022 b=7.022 c=4.062 alpha=90.00 beta=90.00 gamma=90.00
Positions (direct):
Ga 0.324 0.676 0.000
Ga 0.824 0.824 0.500
Ga 0.176 0.176 0.500
Ga 0.676 0.324 0.000
As 0.318 0.318 0.000
As 0.818 0.182 0.500
As 0.182 0.818 0.500
As 0.682 0.682 0.000

=====

Density functional theory data (PBE-GGA) for a geometry-optimized GaAs structure.

Values from the calculation:
The density of states at the Fermi level is 0.699 states/eV per atom. The calculated formation energy is -32 meV/atom. The total moment comes out at 0.0000 μB per atom.

Unit cell a=3.817 b=3.817 c=3.817 alpha=60.00 beta=60.00 gamma=60.00
Positions (direct):
As 0.500 0.500 0.500
Ga 0.000 0.000 0.000

=====

Density functional theory data (PBE-GGA) for a geometry-optimized GaAs structure.

Values from the calculation:
The density of states at the Fermi level is 0.039 states/eV per atom. The calculated formation energy is -124 meV/atom. The total moment comes out at 0.0000 μB per atom.

Unit cell a=7.878 b=7.878 c=7.878 alpha=90.00 beta=90.00 gamma=90.00
Positions (direct):
Ga 0.157 0.157 0.157
Ga 0.157 0.843 0.843
Ga 0.843 0.157 0.843
Ga 0.843 0.843 0.157
Ga 0.657 0.657 0.657
Ga 0.657 0.343 0.343
Ga 0.343 0.657 0.343
Ga 0.343 0.343 0.657
As 0.336 0.336 0.336
As 0.336 0.664 0.664
As 0.664 0.336 0.664
As 0.664 0.664 0.336
As 0.836 0.836 0.836
As 0.836 0.164 0.164
As 0.164 0.836 0.164
As 0.164 0.164 0.836

=====

Density functional theory data (PBE-GGA) for a geometry-optimized GaAs structure.

Values from the calculation:
The density of states at the Fermi level is 0.031 states/eV per atom. The calculated formation energy is -222 meV/atom. The total moment comes out at 0.0000 μB per atom.

Unit cell a=4.073 b=4.073 c=20.141 alpha=90.00 beta=90.00 gamma=120.00
Positions (direct):
Ga 0.000 0.000 0.938
Ga 0.000 0.000 0.062
Ga 0.333 0.667 0.605
Ga 0.333 0.667 0.729
Ga 0.667 0.333 0.271
Ga 0.667 0.333 0.395
As 0.000 0.000 0.561
As 0.000 0.000 0.439
As 0.333 0.667 0.228
As 0.333 0.667 0.105
As 0.667 0.333 0.895
As 0.667 0.333 0.772

=====

Density functional theory data (PBE-GGA) for a geometry-optimized GaAs structure.

Values from the calculation:
The calculated formation energy is -109 meV/atom. The total moment comes out at 0.0000 μB per atom.

Unit cell a=11.403 b=3.984 c=7.129 alpha=90.00 beta=90.00 gamma=90.00
Positions (direct):
Ga 0.788 0.333 0.654
Ga 0.712 0.667 0.154
Ga 0.212 0.333 0.654
Ga 0.288 0.667 0.154
Ga 0.000 0.055 0.424
Ga 0.500 0.945 0.924
As 0.796 0.164 0.310
As 0.704 0.836 0.810
As 0.204 0.164 0.310
As 0.296 0.836 0.810
As 0.000 0.555 0.650
As 0.500 0.445 0.150

=====

Density functional theory data (PBE-GGA) for a geometry-optimized GaAs structure.

Values from the calculation:
The density of states at the Fermi level is 0.024 states/eV per atom. The calculated formation energy is -129 meV/atom. The total moment comes out at 0.0000 μB per atom.

Unit cell a=7.530 b=3.875 c=12.057 alpha=90.00 beta=90.00 gamma=90.00
Positions (direct):
Ga 0.000 0.000 0.204
Ga 0.250 0.250 0.454
Ga 0.000 0.500 0.704
Ga 0.250 0.750 0.954
Ga 0.500 0.000 0.704
Ga 0.750 0.250 0.954
Ga 0.500 0.500 0.204
Ga 0.750 0.750 0.454
As 0.000 0.000 0.571
As 0.250 0.250 0.821
As 0.000 0.500 0.071
As 0.250 0.750 0.321
As 0.500 0.000 0.071
As 0.750 0.250 0.321
As 0.500 0.500 0.571
As 0.750 0.750 0.821

=====

Density functional theory data (PBE-GGA) for a geometry-optimized GaAs structure.

Values from the calculation:
The density of states at the Fermi level is 0.373 states/eV per atom. The calculated formation energy is -47 meV/atom. The total moment comes out at 0.0000 μB per atom.

Unit cell a=4.164 b=4.163 c=5.106 alpha=90.00 beta=90.09 gamma=90.00
Positions (direct):
As 0.749 0.750 0.692
As 0.251 0.250 0.308
Ga 0.250 0.750 0.000
Ga 0.750 0.250 0.000

=====

Density functional theory data (PBE-GGA) for a geometry-optimized GdGa2As structure.

Values from the calculation:
The density of states at the Fermi level is 0.343 states/eV per atom. The calculated formation energy is -603 meV/atom. The total moment comes out at 1.7237 μB per atom.

Unit cell a=4.624 b=4.209 c=4.209 alpha=90.00 beta=90.00 gamma=90.00
Last column: magnetic moment on the atom in μB.
Positions (direct):
As 0.500 0.500 0.500  0.04
Gd 0.500 0.000 0.000  -6.91
Ga 0.000 0.000 0.500  0.01
Ga 0.000 0.500 0.000  0.01

=====

Density functional theory data (PBE-GGA) for a geometry-optimized Ga12Ge3As5 structure.

Values from the calculation:
The density of states at the Fermi level is 0.278 states/eV per atom. The calculated formation energy is 40 meV/atom. The total moment comes out at 0.0000 μB per atom.

Unit cell a=13.344 b=13.344 c=13.344 alpha=109.47 beta=109.47 gamma=109.47
Positions (direct):
Ge 0.750 0.375 0.125
Ge 0.875 0.750 0.125
Ge 0.375 0.750 0.625
Ge 0.250 0.125 0.375
Ge 0.875 0.125 0.250
Ge 0.375 0.625 0.250
Ge 0.625 0.375 0.750
Ge 0.125 0.875 0.750
Ge 0.750 0.875 0.625
Ge 0.625 0.250 0.375
Ge 0.125 0.250 0.875
Ge 0.250 0.625 0.875
As 0.125 0.375 0.250
As 0.000 0.500 0.000
As 0.000 0.000 0.000
As 0.375 0.250 0.125
As 0.500 0.000 0.500
As 0.500 0.500 0.000
As 0.125 0.750 0.375
As 0.750 0.125 0.875
As 0.750 0.625 0.375
As 0.375 0.125 0.750
As 0.625 0.875 0.250
As 0.500 0.500 0.500
As 0.500 0.000 0.000
As 0.000 0.000 0.500
As 0.250 0.375 0.625
As 0.250 0.875 0.125
As 0.000 0.500 0.500
As 0.875 0.250 0.625
As 0.625 0.750 0.875
As 0.875 0.625 0.750
Ga 0.731 0.140 0.061
Ga 0.330 0.561 0.420
Ga 0.939 0.360 0.269
Ga 0.561 0.231 0.140
Ga 0.591 0.731 0.670
Ga 0.939 0.580 0.170
Ga 0.330 0.769 0.409
Ga 0.080 0.909 0.140
Ga 0.580 0.939 0.670
Ga 0.731 0.591 0.170
Ga 0.769 0.439 0.360
Ga 0.830 0.920 0.061
Ga 0.140 0.731 0.561
Ga 0.360 0.420 0.091
Ga 0.091 0.920 0.360
Ga 0.409 0.140 0.580
Ga 0.091 0.170 0.231
Ga 0.439 0.670 0.080
Ga 0.830 0.909 0.269
Ga 0.140 0.409 0.080
Ga 0.360 0.939 0.769
Ga 0.580 0.640 0.409
Ga 0.920 0.830 0.561
Ga 0.769 0.330 0.909
Ga 0.420 0.360 0.591
Ga 0.080 0.170 0.439
Ga 0.231 0.670 0.091
Ga 0.170 0.091 0.731
Ga 0.640 0.061 0.231
Ga 0.860 0.591 0.920
Ga 0.561 0.330 0.920
Ga 0.591 0.860 0.420
Ga 0.909 0.830 0.769
Ga 0.909 0.080 0.640
Ga 0.860 0.269 0.439
Ga 0.170 0.080 0.939
Ga 0.640 0.580 0.909
Ga 0.420 0.061 0.330
Ga 0.269 0.409 0.830
Ga 0.231 0.561 0.640
Ga 0.920 0.091 0.860
Ga 0.670 0.231 0.591
Ga 0.439 0.769 0.860
Ga 0.061 0.420 0.830
Ga 0.409 0.269 0.330
Ga 0.061 0.640 0.731
Ga 0.670 0.439 0.580
Ga 0.269 0.860 0.939

=====

Density functional theory data (PBE-GGA) for a geometry-optimized Ga2Ge2As structure.

Values from the calculation:
The density of states at the Fermi level is 0.405 states/eV per atom. The calculated formation energy is 246 meV/atom. Its energy above the most stable polymorph in this dataset is 0.030 eV per atom. The total moment comes out at 0.0000 μB per atom.

Unit cell a=7.721 b=7.721 c=3.272 alpha=90.00 beta=90.00 gamma=90.00
Positions (direct):
As 0.000 0.000 0.000
As 0.500 0.500 0.000
Ge 0.125 0.625 0.500
Ge 0.625 0.875 0.500
Ge 0.875 0.375 0.500
Ge 0.375 0.125 0.500
Ga 0.329 0.829 0.000
Ga 0.829 0.671 0.000
Ga 0.671 0.171 0.000
Ga 0.171 0.329 0.000

=====

Density functional theory data (PBE-GGA) for a geometry-optimized GaGeAs structure.

Values from the calculation:
The density of states at the Fermi level is 0.306 states/eV per atom. The calculated formation energy is 159 meV/atom. Its energy above the most stable polymorph in this dataset is 0.080 eV per atom. The total moment comes out at 0.0000 μB per atom.

Unit cell a=2.783 b=4.925 c=4.925 alpha=120.00 beta=90.00 gamma=90.00
Positions (direct):
As 0.358 0.333 0.667
Ge 0.414 0.667 0.333
Ga 0.228 0.000 0.000

=====

Density functional theory data (PBE-GGA) for a geometry-optimized GaGeAs2 structure.

Values from the calculation:
The density of states at the Fermi level is 0.551 states/eV per atom. The calculated formation energy is -44 meV/atom. Its energy above the most stable polymorph in this dataset is 0.000 eV per atom. The total moment comes out at 0.0000 μB per atom.

Unit cell a=5.868 b=5.868 c=7.248 alpha=66.12 beta=66.12 gamma=90.00
Positions (direct):
As 0.615 0.125 0.250
As 0.135 0.625 0.250
As 0.375 0.385 0.750
As 0.875 0.865 0.750
Ge 0.000 0.000 0.000
Ge 0.750 0.250 0.500
Ga 0.500 0.500 0.000
Ga 0.250 0.750 0.500

=====

Density functional theory data (PBE-GGA) for a geometry-optimized Ga2GeAs structure.

Values from the calculation:
The density of states at the Fermi level is 0.424 states/eV per atom. The calculated formation energy is 192 meV/atom. Its energy above the most stable polymorph in this dataset is 0.268 eV per atom. The total moment comes out at 0.0000 μB per atom.

Unit cell a=4.752 b=4.752 c=4.752 alpha=60.00 beta=60.00 gamma=60.00
Positions (direct):
As 0.500 0.500 0.500
Ge 0.000 0.000 0.000
Ga 0.250 0.250 0.250
Ga 0.750 0.750 0.750

=====

Density functional theory data (PBE-GGA) for a geometry-optimized Ga2GeAs structure.

Values from the calculation:
The density of states at the Fermi level is 0.456 states/eV per atom. The calculated formation energy is 61 meV/atom. Its energy above the most stable polymorph in this dataset is 0.136 eV per atom. The total moment comes out at 0.0000 μB per atom.

Unit cell a=3.797 b=3.797 c=6.708 alpha=73.56 beta=73.56 gamma=60.00
Positions (direct):
As 0.500 0.500 0.500
Ge 0.000 0.000 0.000
Ga 0.246 0.246 0.261
Ga 0.754 0.754 0.739

=====

Number 1: E_tot -60.152 eV for the cell shown. Number 2: E_tot -15.889 eV for the cell shown. Number 3: E_tot -17.457 eV for the cell shown. Number 4: E_tot -13.437 eV for the cell shown. Number 5: E_tot -48.850 eV for the cell shown. Number 6: E_tot -63.800 eV for the cell shown. Number 7: E_tot -32.980 eV for the cell shown. Number 8: E_tot -7.741 eV for the cell shown. Number 9: E_tot -63.395 eV for the cell shown. Number 10: E_tot -48.717 eV for the cell shown. Number 11: E_tot -47.365 eV for the cell shown. Number 12: E_tot -63.475 eV for the cell shown. Number 13: E_tot -15.540 eV for the cell shown. Number 14: E_tot -27.196 eV for the cell shown. Number 15: E_tot -290.486 eV for the cell shown. Number 16: E_tot -37.415 eV for the cell shown. Number 17: E_tot -11.816 eV for the cell shown. Number 18: E_tot -34.240 eV for the cell shown. Number 19: E_tot -14.552 eV for the cell shown. Number 20: E_tot -15.077 eV for the cell shown.